Material: MgTcCl2
Method: DFT, PBEsol
State: relaxed

```
data_MgTcCl2
_chemical_formula_sum 'Mg1 Tc1 Cl2'
_cell_length_a 3.113
_cell_length_b 4.501
_cell_length_c 6.684
_cell_angle_alpha 109.67
_cell_angle_beta 103.46
_cell_angle_gamma 90.00
_space_group_name_H-M_alt 'P 1'
_space_group_IT_number 1
_space_group_name_Hall 'P 1'
loop_
_atom_site_label
_atom_site_type_symbol
_atom_site_fract_x
_atom_site_fract_y
_atom_site_fract_z
Mg1 Mg 0.000 0.500 0.000
Cl1 Cl 0.851 0.851 0.703
Cl2 Cl 0.149 0.149 0.297
Tc1 Tc 0.500 0.000 0.000
```

Computed properties:
Excess energy over the best structure of this formula in the dataset (meV/atom): 0
Uncorrected energy (eV/atom): -4.53
Formation energy from raw total energies (eV/atom): -0.281
Mass density (g/cm3): 3.755

Material: MgTcCl2
Method: DFT, PBEsol
State: relaxed

```
data_MgTcCl2
_chemical_formula_sum 'Mg1 Tc1 Cl2'
_cell_length_a 3.263
_cell_length_b 3.263
_cell_length_c 9.058
_cell_angle_alpha 79.62
_cell_angle_beta 79.62
_cell_angle_gamma 60.00
_space_group_name_H-M_alt 'P 1'
_space_group_IT_number 1
_space_group_name_Hall 'P 1'
loop_
_atom_site_label
_atom_site_type_symbol
_atom_site_fract_x
_atom_site_fract_y
_atom_site_fract_z
Mg1 Mg 0.000 0.000 0.000
Cl1 Cl 0.110 0.110 0.670
Cl2 Cl 0.890 0.890 0.330
Tc1 Tc 0.500 0.500 0.500
```

Computed properties:
Excess energy over the best structure of this formula in the dataset (meV/atom): 236
Uncorrected energy (eV/atom): -4.29
Formation energy from raw total energies (eV/atom): -0.045
Mass density (g/cm3): 3.927

What did the second record say?
Material: MgTcCl2
Method: DFT, PBEsol
State: relaxed

```
data_MgTcCl2
_chemical_formula_sum 'Mg1 Tc1 Cl2'
_cell_length_a 3.263
_cell_length_b 3.263
_cell_length_c 9.058
_cell_angle_alpha 79.62
_cell_angle_beta 79.62
_cell_angle_gamma 60.00
_space_group_name_H-M_alt 'P 1'
_space_group_IT_number 1
_space_group_name_Hall 'P 1'
loop_
_atom_site_label
_atom_site_type_symbol
_atom_site_fract_x
_atom_site_fract_y
_atom_site_fract_z
Mg1 Mg 0.000 0.000 0.000
Cl1 Cl 0.110 0.110 0.670
Cl2 Cl 0.890 0.890 0.330
Tc1 Tc 0.500 0.500 0.500
```

Computed properties:
Excess energy over the best structure of this formula in the dataset (meV/atom): 236
Uncorrected energy (eV/atom): -4.29
Formation energy from raw total energies (eV/atom): -0.045
Mass density (g/cm3): 3.927

What did the first record say?
Material: MgTcCl2
Method: DFT, PBEsol
State: relaxed

```
data_MgTcCl2
_chemical_formula_sum 'Mg1 Tc1 Cl2'
_cell_length_a 3.113
_cell_length_b 4.501
_cell_length_c 6.684
_cell_angle_alpha 109.67
_cell_angle_beta 103.46
_cell_angle_gamma 90.00
_space_group_name_H-M_alt 'P 1'
_space_group_IT_number 1
_space_group_name_Hall 'P 1'
loop_
_atom_site_label
_atom_site_type_symbol
_atom_site_fract_x
_atom_site_fract_y
_atom_site_fract_z
Mg1 Mg 0.000 0.500 0.000
Cl1 Cl 0.851 0.851 0.703
Cl2 Cl 0.149 0.149 0.297
Tc1 Tc 0.500 0.000 0.000
```

Computed properties:
Excess energy over the best structure of this formula in the dataset (meV/atom): 0
Uncorrected energy (eV/atom): -4.53
Formation energy from raw total energies (eV/atom): -0.281
Mass density (g/cm3): 3.755

- What is the mass density in the first record?
  3.755 g/cm3

- mass density of number 1 (MgTcCl2)?
  3.755 g/cm3